DFT (PBE with a Hubbard U) results for a relaxed structure of Li4MnFe3B4O12.

Output
N(E_F), states/eV/atom: 0.0000
Total magnetic moment, μB/f.u.: 17.04
Relative energy among the computed polymorphs, meV per atom: 3
Space-group type: P1

Cell and atoms, written as POSCAR:
```
Li4MnFe3B4O12
1.0
0.6342 -0.0020 5.1089
5.0607 -1.1488 -3.0108
-0.5318 9.1225 0.1164
Li Mn Fe B O
4 1 3 4 12
Cartesian
3.4631 0.9312 -0.7152
3.5417 5.5028 1.8948
1.6119 2.4664 0.3096
1.6917 7.0227 2.9316
4.1700 2.5528 1.7557
3.6054 7.1065 -0.6935
1.5857 0.8768 2.9293
1.0128 5.4547 0.4245
4.2073 -0.5062 1.7368
3.6328 4.0890 -0.7898
1.5382 3.8989 2.9872
0.9405 8.4617 0.5030
4.4881 -0.3653 0.3615
3.9374 4.2396 -2.1453
3.5531 2.8261 -0.2325
3.9060 0.6247 2.4868
3.3478 5.2245 -0.0288
1.5140 0.5889 -0.1902
3.6448 7.3616 2.4255
1.7956 2.7467 2.2379
1.2329 7.3248 -0.2528
1.5968 5.1430 2.4044
1.2702 3.7680 4.3578
0.6687 8.3204 1.8746
```